No. 1
Below is a relaxed La3Er4Pb4 crystal, with properties calculated at the GGA-PBE level.

Structure (CIF):
```
data_La3Er4Pb4
_chemical_formula_sum 'La6 Er8 Pb8'
_cell_length_a 4.080
_cell_length_b 5.120
_cell_length_c 33.875
_cell_angle_alpha 90.00
_cell_angle_beta 90.00
_cell_angle_gamma 90.00
_symmetry_space_group_name_H-M 'I m m m'
_symmetry_Int_Tables_number 71
_symmetry_space_group_name_Hall '-I 2 2'
loop_
_atom_site_label
_atom_site_type_symbol
_atom_site_fract_x
_atom_site_fract_y
_atom_site_fract_z
La1 La 0.000 0.000 0.000
La2 La 0.000 0.500 0.146
Er1 Er 0.000 0.000 0.261
Er2 Er 0.000 0.500 0.405
Pb1 Pb 0.000 0.000 0.452
Pb2 Pb 0.000 0.500 0.315
```

Calculated values
raw total energy: -4.66 eV/atom

***

No. 2
Below is a relaxed LaTmNiHg crystal, with properties calculated at the GGA-PBE level.

Structure (CIF):
```
data_LaTmNiHg
_chemical_formula_sum 'La4 Tm4 Ni4 Hg4'
_cell_length_a 7.300
_cell_length_b 7.300
_cell_length_c 7.300
_cell_angle_alpha 90.00
_cell_angle_beta 90.00
_cell_angle_gamma 90.00
_symmetry_space_group_name_H-M 'F -4 3 m'
_symmetry_Int_Tables_number 216
_symmetry_space_group_name_Hall 'F -4 2 3'
loop_
_atom_site_label
_atom_site_type_symbol
_atom_site_fract_x
_atom_site_fract_y
_atom_site_fract_z
La1 La 0.000 0.000 0.000
Tm1 Tm 0.000 0.000 0.500
Ni1 Ni 0.250 0.250 0.750
Hg1 Hg 0.250 0.250 0.250
```

Calculated values
raw total energy: -4.17 eV/atom

***

No. 3
Below is a relaxed DyHo3Tc crystal, with properties calculated at the GGA-PBE level.

Structure (CIF):
```
data_DyHo3Tc
_chemical_formula_sum 'Dy4 Ho12 Tc4'
_cell_length_a 11.641
_cell_length_b 8.578
_cell_length_c 7.881
_cell_angle_alpha 90.00
_cell_angle_beta 132.51
_cell_angle_gamma 90.00
_symmetry_space_group_name_H-M 'C 1 2/m 1'
_symmetry_Int_Tables_number 12
loop_
_symmetry_equiv_pos_as_xyz
'x,y,z'
'-x,-y,-z'
'-x,y,-z'
'x,-y,z'
'x+1/2,y+1/2,z'
'-x+1/2,-y+1/2,-z'
'-x+1/2,y+1/2,-z'
'x+1/2,-y+1/2,z'
loop_
_atom_site_label
_atom_site_type_symbol
_atom_site_fract_x
_atom_site_fract_y
_atom_site_fract_z
Dy1 Dy 0.053 0.000 0.347
Ho1 Ho 0.054 0.500 0.258
Ho2 Ho 0.249 0.304 0.795
Tc1 Tc 0.250 0.000 0.875
```

Calculated values
excess energy over the best structure of this formula in the dataset: 42.1 meV/atom

***

No. 4
Below is a relaxed Pa3Si4Tc2 crystal, with properties calculated at the GGA-PBE level.

Structure (CIF):
```
data_Pa3Si4Tc2
_chemical_formula_sum 'Pa6 Si8 Tc4'
_cell_length_a 3.775
_cell_length_b 7.451
_cell_length_c 12.724
_cell_angle_alpha 90.00
_cell_angle_beta 90.00
_cell_angle_gamma 90.00
_symmetry_space_group_name_H-M 'I m m m'
_symmetry_Int_Tables_number 71
_symmetry_space_group_name_Hall '-I 2 2'
loop_
_atom_site_label
_atom_site_type_symbol
_atom_site_fract_x
_atom_site_fract_y
_atom_site_fract_z
Pa1 Pa 0.000 0.000 0.000
Pa2 Pa 0.000 0.500 0.116
Si1 Si 0.000 0.303 0.307
Tc1 Tc 0.000 0.237 0.500
```

Calculated values
excess energy over the best structure of this formula in the dataset: 271.9 meV/atom
energy relative to the elements, uncorrected: -2.88 eV per formula unit

***

No. 5
Below is a relaxed LuURu crystal, with properties calculated at the GGA-PBE level.

Structure (CIF):
```
data_LuURu
_chemical_formula_sum 'Lu2 U2 Ru2'
_cell_length_a 3.452
_cell_length_b 3.452
_cell_length_c 10.700
_cell_angle_alpha 90.00
_cell_angle_beta 90.00
_cell_angle_gamma 90.00
_symmetry_space_group_name_H-M 'I 4 m m'
_symmetry_Int_Tables_number 107
_symmetry_space_group_name_Hall 'I 4 -2'
loop_
_atom_site_label
_atom_site_type_symbol
_atom_site_fract_x
_atom_site_fract_y
_atom_site_fract_z
Lu1 Lu 0.000 0.000 0.000
U1 U 0.000 0.000 0.701
Ru1 Ru 0.000 0.000 0.311
```

Calculated values
raw total energy: -8.49 eV/atom

***

No. 6
Below is a relaxed YTa2Os crystal, with properties calculated at the GGA-PBE level.

Structure (CIF):
```
data_YTa2Os
_chemical_formula_sum 'Y1 Ta2 Os1'
_cell_length_a 3.157
_cell_length_b 3.157
_cell_length_c 7.902
_cell_angle_alpha 90.00
_cell_angle_beta 90.00
_cell_angle_gamma 90.00
_symmetry_space_group_name_H-M 'P 4/m m m'
_symmetry_Int_Tables_number 123
_symmetry_space_group_name_Hall '-P 4 2'
loop_
_atom_site_label
_atom_site_type_symbol
_atom_site_fract_x
_atom_site_fract_y
_atom_site_fract_z
Y1 Y 0.000 0.000 0.000
Ta1 Ta 0.500 0.500 0.298
Os1 Os 0.000 0.000 0.500
```

Calculated values
excess energy over the best structure of this formula in the dataset: 78.6 meV/atom

***

No. 7
Below is a relaxed Sr2SnHg crystal, with properties calculated at the GGA-PBE level.

Structure (CIF):
```
data_Sr2SnHg
_chemical_formula_sum 'Sr6 Sn3 Hg3'
_cell_length_a 4.0469
_cell_length_b 4.0469
_cell_length_c 34.0562
_cell_angle_alpha 90.00
_cell_angle_beta 90.00
_cell_angle_gamma 120.00
_symmetry_space_group_name_H-M 'R -3 m'
_symmetry_Int_Tables_number 166
_symmetry_space_group_name_Hall '-R 3 2"'
loop_
_atom_site_label
_atom_site_type_symbol
_atom_site_fract_x
_atom_site_fract_y
_atom_site_fract_z
Sr1 Sr 0.0000 0.0000 0.0970
Sn1 Sn 0.0000 0.0000 0.0000
Hg1 Hg 0.0000 0.0000 0.5000
```

Calculated values
excess energy over the best structure of this formula in the dataset: 611.5 meV/atom

***

No. 8
Below is a relaxed CaScCdAg crystal, with properties calculated at the GGA-PBE level.

Structure (CIF):
```
data_CaScCdAg
_chemical_formula_sum 'Ca4 Sc4 Cd4 Ag4'
_cell_length_a 7.233
_cell_length_b 7.233
_cell_length_c 7.233
_cell_angle_alpha 90.00
_cell_angle_beta 90.00
_cell_angle_gamma 90.00
_symmetry_space_group_name_H-M 'F -4 3 m'
_symmetry_Int_Tables_number 216
_symmetry_space_group_name_Hall 'F -4 2 3'
loop_
_atom_site_label
_atom_site_type_symbol
_atom_site_fract_x
_atom_site_fract_y
_atom_site_fract_z
Ca1 Ca 0.000 0.000 0.000
Sc1 Sc 0.000 0.000 0.500
Cd1 Cd 0.250 0.250 0.250
Ag1 Ag 0.250 0.250 0.750
```

Calculated values
raw total energy: -3.26 eV/atom

***

No. 9
Below is a relaxed Li2CdIr crystal, with properties calculated at the GGA-PBE level.

Structure (CIF):
```
data_Li2CdIr
_chemical_formula_sum 'Li2 Cd1 Ir1'
_cell_length_a 3.941
_cell_length_b 3.941
_cell_length_c 3.891
_cell_angle_alpha 90.00
_cell_angle_beta 90.00
_cell_angle_gamma 90.00
_symmetry_space_group_name_H-M 'P 4/m m m'
_symmetry_Int_Tables_number 123
_symmetry_space_group_name_Hall '-P 4 2'
loop_
_atom_site_label
_atom_site_type_symbol
_atom_site_fract_x
_atom_site_fract_y
_atom_site_fract_z
Li1 Li 0.000 0.500 0.000
Cd1 Cd 0.000 0.000 0.500
Ir1 Ir 0.500 0.500 0.500
```

Calculated values
raw total energy: -3.47 eV/atom

***

No. 10
Below is a relaxed In2GaHI crystal, with properties calculated at the GGA-PBE level.

Structure (CIF):
```
data_In2GaHI
_chemical_formula_sum 'In2 Ga1 H1 I1'
_cell_length_a 5.682
_cell_length_b 5.682
_cell_length_c 3.856
_cell_angle_alpha 90.00
_cell_angle_beta 90.00
_cell_angle_gamma 90.00
_symmetry_space_group_name_H-M 'P 4/m m m'
_symmetry_Int_Tables_number 123
_symmetry_space_group_name_Hall '-P 4 2'
loop_
_atom_site_label
_atom_site_type_symbol
_atom_site_fract_x
_atom_site_fract_y
_atom_site_fract_z
In1 In 0.000 0.500 0.000
Ga1 Ga 0.000 0.000 0.000
H1 H 0.000 0.000 0.500
I1 I 0.500 0.500 0.500
```

Calculated values
raw total energy: -2.66 eV/atom

***

No. 11
Below is a relaxed UTlAuS4 crystal, with properties calculated at the GGA-PBE level.

Structure (CIF):
```
data_UTlAuS4
_chemical_formula_sum 'U2 Tl2 Au2 S8'
_cell_length_a 6.435
_cell_length_b 6.561
_cell_length_c 8.369
_cell_angle_alpha 90.00
_cell_angle_beta 94.57
_cell_angle_gamma 90.00
_symmetry_space_group_name_H-M 'P 1 21/m 1'
_symmetry_Int_Tables_number 11
loop_
_symmetry_equiv_pos_as_xyz
'x,y,z'
'-x,-y,-z'
'-x,y+1/2,-z'
'x,-y+1/2,z'
loop_
_atom_site_label
_atom_site_type_symbol
_atom_site_fract_x
_atom_site_fract_y
_atom_site_fract_z
U1 U 0.194 0.250 0.447
Tl1 Tl 0.232 0.750 0.062
Au1 Au 0.326 0.750 0.667
S1 S 0.062 0.023 0.692
S2 S 0.342 0.250 0.172
S3 S 0.452 0.750 0.394
```

Calculated values
energy relative to the elements, uncorrected: -4.50 eV per formula unit

***

Number 1: total magnetization 0.01 μB/atom. Number 2: total magnetization 0.00 μB/atom. Number 3: total magnetization 0.00 μB/atom. Number 4: total magnetization 0.00 μB/atom. Number 5: total magnetization 0.27 μB/atom. Number 6: total magnetization 0.00 μB/atom. Number 7: total magnetization 0.00 μB/atom. Number 8: total magnetization 0.00 μB/atom. Number 9: total magnetization 0.00 μB/atom. Number 10: total magnetization 0.00 μB/atom. Number 11: total magnetization 0.02 μB/atom.